DFT (GGA-PBEsol) results for an optimized crystal structure of SbOF3.

Cell and atoms, written as extended XYZ:
```
5
Lattice="-0.8476 3.0612 2.0540 -3.9768 -0.6310 -0.7007 2.1733 -3.6806 2.8991" Properties=species:S:1:pos:R:3 pbc="T T T"
Sb 0.0000 0.0000 0.0000
O -0.4238 1.5306 1.0270
F -2.5479 -0.1858 2.7084
F -1.9884 -0.3155 -0.3504
F -0.1032 -1.0646 1.5441
```

Summary:
polymorph energy (0 for the lowest one)	52	meV per atom
symmetry	Immm (71)
electronic total energy	-5.03	eV/atom
crystal system	orthorhombic
calculated density	4.809	g cm⁻³